# TbTlInTe3

A relaxed TbTlInTe3 crystal (PBE-GGA, OQMD).

Output
Electronic total energy (hartree per atom): -0.14174
Magnetic moment (μB/f.u.): 0.0

abc: 4.506 15.393 11.567
angles: 90.00 90.00 90.00
Space group Cmcm (No. 63)
Inequivalent atoms, fractional coordinates:
Tb: 0.000 0.000 0.000 [4 per cell]
Tl: 0.000 0.235 0.250 [4 per cell]
In: 0.000 0.462 0.750 [4 per cell]
Te: 0.000 0.088 0.750 [4 per cell]
Te: 0.000 0.361 0.537 [8 per cell]

# Pr2Ho2Os

A relaxed Pr2Ho2Os crystal (PBE-GGA, OQMD).

Output
Electronic total energy (hartree per atom): -0.19072
Magnetic moment (μB/f.u.): 0.0
Energy of formation from the pure elements (eV/atom): 0.7961

abc: 3.966 3.966 9.439
angles: 90.00 90.00 90.00
Space group P4/mmm (No. 123)
Inequivalent atoms, fractional coordinates:
Pr: 0.000 0.500 0.000 [2 per cell]
Ho: 0.000 0.000 0.343 [2 per cell]
Os: 0.500 0.500 0.500 [1 per cell]

# CsLuZnTe3

A relaxed CsLuZnTe3 crystal (PBE-GGA, OQMD).

Output
Electronic total energy (hartree per atom): -0.13000
Magnetic moment (μB/f.u.): 0.0

abc: 19.745 4.502 9.806
angles: 90.00 99.72 90.00
Space group C2/m (No. 12)
Inequivalent atoms, fractional coordinates:
Cs: 0.150 0.000 0.060 [4 per cell]
Lu: 0.169 0.000 0.560 [4 per cell]
Zn: 0.024 0.500 0.727 [4 per cell]
Te: 0.000 0.000 0.500 [2 per cell]
Te: 0.000 0.500 0.000 [2 per cell]
Te: 0.160 0.500 0.761 [4 per cell]
Te: 0.176 0.500 0.360 [4 per cell]

Copy entry 2 word for word.
# Pr2Ho2Os

A relaxed Pr2Ho2Os crystal (PBE-GGA, OQMD).

Output
Electronic total energy (hartree per atom): -0.19072
Magnetic moment (μB/f.u.): 0.0
Energy of formation from the pure elements (eV/atom): 0.7961

abc: 3.966 3.966 9.439
angles: 90.00 90.00 90.00
Space group P4/mmm (No. 123)
Inequivalent atoms, fractional coordinates:
Pr: 0.000 0.500 0.000 [2 per cell]
Ho: 0.000 0.000 0.343 [2 per cell]
Os: 0.500 0.500 0.500 [1 per cell]